[1]
TbDyPa4: optimized geometry, PBE.

a b c (Å): 8.702 8.702 8.702
angles (deg): 90.00 90.00 90.00
Space group F-43m (No. 216)
Inequivalent atoms, fractional coordinates:
Tb 0.000 0.000 0.000 [4 per cell]
Dy 0.250 0.250 0.750 [4 per cell]
Pa 0.125 0.125 0.375 [16 per cell]

Properties
As for the density of states at the Fermi level: 16.520 states/eV/f.u. For the calculated total energy, the calculation gives -7.637 eV/atom.



[2]
TbDyPa: optimized geometry, PBE.

a b c (Å): 3.400 3.400 15.165
angles (deg): 90.00 90.00 90.00
Space group I4mm (No. 107)
Inequivalent atoms, fractional coordinates:
Tb 0.000 0.000 0.000 [2 per cell]
Dy 0.000 0.000 0.687 [2 per cell]
Pa 0.000 0.000 0.343 [2 per cell]

Properties
As for the density of states at the Fermi level: 5.145 states/eV/f.u. For the calculated total energy, the calculation gives -6.091 eV/atom. The polymorph energy (0 for the lowest one) comes out at 0.083 eV/f.u.



[3]
Dy2PaTc2: optimized geometry, PBE.

a b c (Å): 9.992 5.878 8.055
angles (deg): 90.00 101.33 90.00
Space group C2/c (No. 15)
Inequivalent atoms, fractional coordinates:
Dy 0.152 0.125 0.149 [8 per cell]
Pa 0.000 0.380 0.750 [4 per cell]
Tc 0.130 0.367 0.513 [8 per cell]

Properties
As for the density of states at the Fermi level: 4.891 states/eV/f.u. For the calculated total energy, the calculation gives -8.135 eV/atom.



[4]
DyPa2Tc9: optimized geometry, PBE.

a b c (Å): 5.2023 5.2023 27.4984
angles (deg): 90.00 90.00 120.00
Space group R-3m (No. 166, hexagonal axes)
Inequivalent atoms, fractional coordinates:
Dy 0.0000 0.0000 0.0000 [3 per cell]
Pa 0.0000 0.0000 0.1463 [6 per cell]
Tc 0.0000 0.0000 0.3364 [6 per cell]
Tc 0.0000 0.0000 0.5000 [3 per cell]
Tc 0.0058 0.5029 0.9184 [18 per cell]

Properties
As for the density of states at the Fermi level: 14.272 states/eV/f.u. For the calculated total energy, the calculation gives -9.809 eV/atom.



[5]
DyPaTc2: optimized geometry, PBE.

a b c (Å): 3.422 3.422 6.955
angles (deg): 90.00 90.00 90.00
Space group P4/mmm (No. 123)
Inequivalent atoms, fractional coordinates:
Dy 0.000 0.000 0.000 [1 per cell]
Pa 0.000 0.000 0.500 [1 per cell]
Tc 0.500 0.500 0.280 [2 per cell]

Properties
As for the density of states at the Fermi level: 4.549 states/eV/f.u. For the calculated total energy, the calculation gives -8.919 eV/atom. The polymorph energy (0 for the lowest one) comes out at 0.000 eV/f.u.



[6]
Dy3PaTc2: optimized geometry, PBE.

a b c (Å): 17.306 3.730 12.052
angles (deg): 90.00 127.08 90.00
Space group C2/m (No. 12)
Inequivalent atoms, fractional coordinates:
Dy 0.045 0.000 0.272 [4 per cell]
Dy 0.119 0.500 0.037 [4 per cell]
Dy 0.240 0.000 0.611 [4 per cell]
Pa 0.136 0.500 0.738 [4 per cell]
Tc 0.079 0.500 0.498 [4 per cell]
Tc 0.177 0.000 0.916 [4 per cell]

Properties
As for the density of states at the Fermi level: 6.731 states/eV/f.u. For the calculated total energy, the calculation gives -7.346 eV/atom.



[7]
DyPa2Tc: optimized geometry, PBE.

a b c (Å): 3.309 3.309 8.874
angles (deg): 90.00 90.00 90.00
Space group P4/mmm (No. 123)
Inequivalent atoms, fractional coordinates:
Dy 0.000 0.000 0.000 [1 per cell]
Pa 0.500 0.500 0.298 [2 per cell]
Tc 0.000 0.000 0.500 [1 per cell]

Properties
As for the density of states at the Fermi level: 10.890 states/eV/f.u. For the calculated total energy, the calculation gives -8.424 eV/atom. The polymorph energy (0 for the lowest one) comes out at 0.000 eV/f.u.



[8]
DyPa4Tc5: optimized geometry, PBE.

a b c (Å): 3.447 3.447 17.226
angles (deg): 90.00 90.00 90.00
Space group P4/mmm (No. 123)
Inequivalent atoms, fractional coordinates:
Dy 0.000 0.000 0.000 [1 per cell]
Pa 0.000 0.000 0.199 [2 per cell]
Pa 0.000 0.000 0.401 [2 per cell]
Tc 0.500 0.500 0.116 [2 per cell]
Tc 0.500 0.500 0.300 [2 per cell]
Tc 0.500 0.500 0.500 [1 per cell]

Properties
As for the density of states at the Fermi level: 9.468 states/eV/f.u. For the calculated total energy, the calculation gives -9.628 eV/atom.



[9]
DyPa2Tc: optimized geometry, PBE.

a b c (Å): 3.6977 3.6977 26.5321
angles (deg): 90.00 90.00 120.00
Space group R-3m (No. 166, hexagonal axes)
Inequivalent atoms, fractional coordinates:
Dy 0.0000 0.0000 0.0000 [3 per cell]
Pa 0.0000 0.0000 0.2305 [6 per cell]
Tc 0.0000 0.0000 0.5000 [3 per cell]

Properties
As for the density of states at the Fermi level: 7.006 states/eV/f.u. For the calculated total energy, the calculation gives -8.338 eV/atom. The polymorph energy (0 for the lowest one) comes out at 0.344 eV/f.u.



[10]
DyPaTc2: optimized geometry, PBE.

a b c (Å): 6.850 6.850 6.850
angles (deg): 90.00 90.00 90.00
Space group Fm-3m (No. 225)
Inequivalent atoms, fractional coordinates:
Dy 0.000 0.000 0.000 [4 per cell]
Pa 0.000 0.000 0.500 [4 per cell]
Tc 0.250 0.250 0.250 [8 per cell]

Properties
As for the density of states at the Fermi level: 2.408 states/eV/f.u. For the calculated total energy, the calculation gives -8.856 eV/atom. The polymorph energy (0 for the lowest one) comes out at 0.253 eV/f.u.



[11]
DyPa2Tc3: optimized geometry, PBE.

a b c (Å): 5.199 13.573 3.493
angles (deg): 90.00 90.00 90.00
Space group Cmmm (No. 65)
Inequivalent atoms, fractional coordinates:
Dy 0.000 0.000 0.000 [2 per cell]
Pa 0.000 0.337 0.000 [4 per cell]
Tc 0.000 0.184 0.500 [4 per cell]
Tc 0.000 0.500 0.500 [2 per cell]

Properties
As for the density of states at the Fermi level: 5.813 states/eV/f.u. For the calculated total energy, the calculation gives -9.327 eV/atom.



[12]
DyPa5Tc6: optimized geometry, PBE.

a b c (Å): 4.718 6.918 7.875
angles (deg): 90.00 107.29 90.00
Space group P2/m (No. 10)
Inequivalent atoms, fractional coordinates:
Dy 0.000 0.000 0.000 [1 per cell]
Pa 0.000 0.500 0.000 [1 per cell]
Pa 0.335 0.000 0.671 [2 per cell]
Pa 0.335 0.500 0.672 [2 per cell]
Tc 0.177 0.248 0.354 [4 per cell]
Tc 0.500 0.277 0.000 [2 per cell]

Properties
As for the density of states at the Fermi level: 12.354 states/eV/f.u. For the calculated total energy, the calculation gives -9.706 eV/atom.



[13]
DyPaTc4: optimized geometry, PBE.

a b c (Å): 7.633 7.633 7.633
angles (deg): 90.00 90.00 90.00
Space group F-43m (No. 216)
Inequivalent atoms, fractional coordinates:
Dy 0.000 0.000 0.000 [4 per cell]
Pa 0.250 0.250 0.750 [4 per cell]
Tc 0.125 0.125 0.375 [16 per cell]

Properties
As for the density of states at the Fermi level: 13.273 states/eV/f.u. For the calculated total energy, the calculation gives -9.360 eV/atom.



[14]
DyPa3Tc4: optimized geometry, PBE.

a b c (Å): 4.9326 4.9326 23.3232
angles (deg): 90.00 90.00 120.00
Space group R-3m (No. 166, hexagonal axes)
Inequivalent atoms, fractional coordinates:
Dy 0.0000 0.0000 0.0000 [3 per cell]
Pa 0.0000 0.0000 0.2522 [6 per cell]
Pa 0.0000 0.0000 0.5000 [3 per cell]
Tc 0.0000 0.0000 0.1319 [6 per cell]
Tc 0.0000 0.0000 0.3866 [6 per cell]

Properties
As for the density of states at the Fermi level: 7.395 states/eV/f.u. For the calculated total energy, the calculation gives -9.514 eV/atom.



[15]
DyPaTc2: optimized geometry, PBE.

a b c (Å): 3.4117 3.4117 25.0414
angles (deg): 90.00 90.00 120.00
Space group R-3m (No. 166, hexagonal axes)
Inequivalent atoms, fractional coordinates:
Dy 0.0000 0.0000 0.0000 [3 per cell]
Pa 0.0000 0.0000 0.5000 [3 per cell]
Tc 0.0000 0.0000 0.2401 [6 per cell]

Properties
As for the density of states at the Fermi level: 4.900 states/eV/f.u. For the calculated total energy, the calculation gives -8.666 eV/atom. The polymorph energy (0 for the lowest one) comes out at 1.011 eV/f.u.



[16]
DyPa2Tc3: optimized geometry, PBE.

a b c (Å): 3.458 3.458 10.315
angles (deg): 90.00 90.00 90.00
Space group P4/mmm (No. 123)
Inequivalent atoms, fractional coordinates:
Dy 0.000 0.000 0.000 [1 per cell]
Pa 0.000 0.000 0.330 [2 per cell]
Tc 0.500 0.500 0.194 [2 per cell]
Tc 0.500 0.500 0.500 [1 per cell]

Properties
As for the density of states at the Fermi level: 4.701 states/eV/f.u. For the calculated total energy, the calculation gives -9.328 eV/atom.



[17]
DyPa2Tc4: optimized geometry, PBE.

a b c (Å): 4.4491 4.4491 25.6589
angles (deg): 90.00 90.00 120.00
Space group R-3m (No. 166, hexagonal axes)
Inequivalent atoms, fractional coordinates:
Dy 0.0000 0.0000 0.0000 [3 per cell]
Pa 0.0000 0.0000 0.2404 [6 per cell]
Tc 0.0000 0.0000 0.1311 [6 per cell]
Tc 0.0000 0.0000 0.4118 [6 per cell]

Properties
As for the density of states at the Fermi level: 6.823 states/eV/f.u. For the calculated total energy, the calculation gives -9.126 eV/atom.



[18]
DyPaTlTc: optimized geometry, PBE.

a b c (Å): 3.361 3.361 8.468
angles (deg): 90.00 90.00 90.00
Space group P4mm (No. 99)
Inequivalent atoms, fractional coordinates:
Dy 0.000 0.000 0.000 [1 per cell]
Pa 0.000 0.000 0.592 [1 per cell]
Tl 0.500 0.500 0.290 [1 per cell]
Tc 0.500 0.500 0.782 [1 per cell]

Properties
As for the density of states at the Fermi level: 2.904 states/eV/f.u. For the calculated total energy, the calculation gives -6.913 eV/atom.



[19]
Dy2TmPaTc2: optimized geometry, PBE.

a b c (Å): 6.547 14.036 6.559
angles (deg): 90.00 90.00 90.00
Space group Ibam (No. 72)
Inequivalent atoms, fractional coordinates:
Dy 0.250 0.189 0.000 [8 per cell]
Tm 0.000 0.000 0.250 [4 per cell]
Pa 0.000 0.500 0.250 [4 per cell]
Tc 0.203 0.392 0.000 [8 per cell]

Properties
As for the density of states at the Fermi level: 5.579 states/eV/f.u. For the calculated total energy, the calculation gives -7.388 eV/atom.



[20]
DyPaZnTc: optimized geometry, PBE.

a b c (Å): 6.968 6.968 6.968
angles (deg): 90.00 90.00 90.00
Space group F-43m (No. 216)
Inequivalent atoms, fractional coordinates:
Dy 0.000 0.000 0.000 [4 per cell]
Pa 0.000 0.000 0.500 [4 per cell]
Zn 0.250 0.250 0.750 [4 per cell]
Tc 0.250 0.250 0.250 [4 per cell]

Properties
As for the density of states at the Fermi level: 2.888 states/eV/f.u. For the calculated total energy, the calculation gives -6.518 eV/atom.



[21]
Dy2Pa2Te7: optimized geometry, PBE.

a b c (Å): 5.226 5.226 14.723
angles (deg): 90.00 90.00 90.00
Space group P-4m2 (No. 115)
Inequivalent atoms, fractional coordinates:
Dy 0.000 0.500 0.136 [2 per cell]
Pa 0.000 0.500 0.626 [2 per cell]
Te 0.000 0.000 0.235 [2 per cell]
Te 0.000 0.000 0.500 [1 per cell]
Te 0.500 0.500 0.000 [1 per cell]
Te 0.500 0.500 0.256 [2 per cell]
Te 0.500 0.500 0.500 [1 per cell]

Properties
As for the density of states at the Fermi level: 11.224 states/eV/f.u. For the calculated total energy, the calculation gives -5.445 eV/atom. The polymorph energy (0 for the lowest one) comes out at 1.885 eV/f.u. The value obtained for the formation energy from raw total energies is -883 meV per atom.



[22]
DyPa3Te6: optimized geometry, PBE.

a b c (Å): 11.181 15.557 4.383
angles (deg): 90.00 90.00 90.00
Space group Cmmm (No. 65)
Inequivalent atoms, fractional coordinates:
Dy 0.000 0.000 0.000 [2 per cell]
Pa 0.000 0.500 0.000 [2 per cell]
Pa 0.250 0.250 0.500 [4 per cell]
Te 0.000 0.147 0.500 [4 per cell]
Te 0.217 0.384 0.000 [8 per cell]

Properties
As for the density of states at the Fermi level: 17.344 states/eV/f.u. For the calculated total energy, the calculation gives -5.690 eV/atom. The value obtained for the formation energy from raw total energies is -496 meV per atom.



[23]
Dy2PaTe6: optimized geometry, PBE.

a b c (Å): 7.261 7.261 13.252
angles (deg): 90.00 90.00 90.00
Space group P4_2/mnm (No. 136)
Inequivalent atoms, fractional coordinates:
Dy 0.000 0.000 0.167 [4 per cell]
Pa 0.000 0.000 0.500 [2 per cell]
Te 0.201 0.201 0.338 [8 per cell]
Te 0.207 0.207 0.000 [4 per cell]

Properties
As for the density of states at the Fermi level: 4.656 states/eV/f.u. For the calculated total energy, the calculation gives -5.122 eV/atom. The value obtained for the formation energy from raw total energies is -950 meV per atom.



[24]
DyPaTe6: optimized geometry, PBE.

a b c (Å): 4.405 4.402 26.204
angles (deg): 90.00 90.00 90.00
Space group Amm2 (No. 38)
Inequivalent atoms, fractional coordinates:
Dy 0.000 0.000 0.000 [2 per cell]
Pa 0.500 0.000 0.660 [2 per cell]
Te 0.000 0.000 0.124 [2 per cell]
Te 0.000 0.000 0.410 [2 per cell]
Te 0.000 0.000 0.749 [2 per cell]
Te 0.500 0.000 0.249 [2 per cell]
Te 0.500 0.000 0.538 [2 per cell]
Te 0.500 0.000 0.910 [2 per cell]

Properties
As for the density of states at the Fermi level: 5.791 states/eV/f.u. For the calculated total energy, the calculation gives -4.925 eV/atom. The value obtained for the formation energy from raw total energies is -806 meV per atom.



[25]
DyPa2Te5: optimized geometry, PBE.

a b c (Å): 7.463 7.463 5.243
angles (deg): 90.00 90.00 90.00
Space group P4/mmm (No. 123)
Inequivalent atoms, fractional coordinates:
Dy 0.000 0.000 0.000 [1 per cell]
Pa 0.000 0.500 0.500 [2 per cell]
Te 0.000 0.000 0.500 [1 per cell]
Te 0.279 0.279 0.000 [4 per cell]

Properties
As for the density of states at the Fermi level: 13.904 states/eV/f.u. For the calculated total energy, the calculation gives -4.981 eV/atom. The polymorph energy (0 for the lowest one) comes out at 6.816 eV/f.u. The value obtained for the formation energy from raw total energies is -68 meV per atom.